Entry from Alexandria: a relaxed CoTe2SN crystal (PBE-GGA).

The structure in extended XYZ format:
```
5
Lattice="5.391 0.000 0.000 0.000 5.391 0.000 0.000 0.000 3.315" Properties=species:S:1:pos:R:3 pbc="T T T"
S 0.000 0.000 0.000
Te 0.000 2.696 0.000
Te 2.696 0.000 0.000
Co 2.696 2.696 1.657
N 0.000 0.000 1.657
```

Output
formation energy without anion corrections	1104	meV/atom
energy relative to the lowest polymorph listed for this composition	0.649	eV per atom

=====

Entry from Alexandria: a relaxed NaTmTi2O6 crystal (PBE-GGA).

The structure in extended XYZ format:
```
20
Lattice="6.183 0.094 0.098 2.098 7.074 0.435 2.098 0.173 7.086" Properties=species:S:1:pos:R:3 pbc="T T T"
Na 3.643 6.449 1.085
Na 6.735 0.893 6.533
Tm 3.643 2.050 5.324
Tm 6.735 5.291 2.295
Ti 4.871 5.739 4.779
Ti 2.416 2.732 1.658
Ti 5.508 1.603 2.840
Ti 7.963 4.610 5.961
O 4.794 7.182 5.854
O 2.493 1.710 0.176
O 5.585 0.159 1.764
O 7.886 5.631 7.443
O 4.815 6.162 3.074
O 2.472 4.450 1.298
O 5.563 1.180 4.544
O 7.907 2.891 6.320
O 3.530 4.429 5.147
O 3.757 2.315 2.953
O 6.848 2.912 2.472
O 6.622 5.026 4.666
```

Output
formation energy without anion corrections	-2995	meV/atom
energy relative to the lowest polymorph listed for this composition	0.038	eV per atom

=====

Entry from Alexandria: a relaxed ReOsWC2 crystal (PBE-GGA).

The structure in extended XYZ format:
```
5
Lattice="3.808 0.000 0.000 0.000 5.522 0.000 0.000 0.000 3.808" Properties=species:S:1:pos:R:3 pbc="T T T"
Re 0.000 2.761 0.000
C 0.000 0.000 1.904
C 1.904 0.000 0.000
Os 0.000 0.000 0.000
W 1.904 2.761 1.904
```

Output
calculated formation energy	2.144	eV/atom

=====

Entry from Alexandria: a relaxed Ta4InIr2 crystal (PBE-GGA).

The structure in extended XYZ format:
```
7
Lattice="-1.395 -2.328 -4.063 -1.957 -3.561 2.713 -7.408 0.291 -0.562" Properties=species:S:1:pos:R:3 pbc="T T T"
Ir -7.872 -3.338 -1.261
Ir -2.887 -2.261 -0.651
In 0.000 0.000 0.000
Ta -5.779 -4.520 -1.302
Ta -4.980 -1.079 -0.610
Ta -0.979 -1.781 1.356
Ta -0.697 -1.164 -2.031
```

Output
calculated formation energy	1.388	eV/atom